1.
# Ba2BeAl PBE optimized geometry
# E: -40.232 eV per cell
# Relative energy among the computed polymorphs: 156 meV/atom
# Energy of formation: 0.314 eV per atom
data_Ba2BeAl
_chemical_formula_sum 'Ba8 Be4 Al4'
_space_group_name_H-M_alt 'F m -3 m'
_space_group_IT_number 225
_space_group_name_Hall '-F 4 2 3'
_cell_length_a 8.144
_cell_length_b 8.144
_cell_length_c 8.144
_cell_angle_alpha 90.00
_cell_angle_beta 90.00
_cell_angle_gamma 90.00
loop_
_atom_site_label
_atom_site_fract_x
_atom_site_fract_y
_atom_site_fract_z
Ba1 0.250 0.250 0.250
Be1 0.000 0.000 0.000
Al1 0.000 0.000 0.500

2.
# BaBe2Al2 PBE optimized geometry
# E: -32.434 eV per cell
# Energy of formation: 0.129 eV per atom
data_BaBe2Al2
_chemical_formula_sum 'Ba2 Be4 Al4'
_space_group_name_H-M_alt 'I 4/m m m'
_space_group_IT_number 139
_space_group_name_Hall '-I 4 2'
_cell_length_a 4.377
_cell_length_b 4.377
_cell_length_c 10.634
_cell_angle_alpha 90.00
_cell_angle_beta 90.00
_cell_angle_gamma 90.00
loop_
_atom_site_label
_atom_site_fract_x
_atom_site_fract_y
_atom_site_fract_z
Ba1 0.000 0.000 0.000
Be1 0.000 0.500 0.250
Al1 0.000 0.000 0.361

3.
# Ba2BeAl PBE optimized geometry
# E: -21.365 eV per cell
# Relative energy among the computed polymorphs: 0 meV/atom
# Energy of formation: 0.158 eV per atom
data_Ba2BeAl
_chemical_formula_sum 'Ba4 Be2 Al2'
_space_group_name_H-M_alt 'C 1 m 1'
_space_group_IT_number 8
_space_group_name_Hall 'C -2y'
_cell_length_a 11.943
_cell_length_b 4.135
_cell_length_c 5.801
_cell_angle_alpha 90.00
_cell_angle_beta 118.99
_cell_angle_gamma 90.00
loop_
_atom_site_label
_atom_site_fract_x
_atom_site_fract_y
_atom_site_fract_z
Ba1 0.000 0.000 0.000
Ba2 0.181 0.000 0.681
Be1 0.404 0.000 0.403
Al1 0.292 0.500 0.293

4.
# BaBe2Al PBE optimized geometry
# E: -46.799 eV per cell
# Energy of formation: 0.354 eV per atom
data_BaBe2Al
_chemical_formula_sum 'Ba4 Be8 Al4'
_space_group_name_H-M_alt 'I 41/a m d'
_space_group_IT_number 141
_cell_length_a 4.929
_cell_length_b 4.929
_cell_length_c 16.010
_cell_angle_alpha 90.00
_cell_angle_beta 90.00
_cell_angle_gamma 90.00
loop_
_space_group_symop_operation_xyz
'x,y,z'
'-x,-y,-z'
'-y+1/4,x+3/4,z+1/4'
'y+1/4,-x+3/4,-z+1/4'
'-x+1/2,-y,z+1/2'
'x+1/2,y,-z+1/2'
'y+1/4,-x+1/4,z+3/4'
'-y+1/4,x+1/4,-z+3/4'
'x,-y,-z'
'-x,y,z'
'-y+1/4,-x+1/4,-z+3/4'
'y+1/4,x+1/4,z+3/4'
'-x+1/2,y,-z+1/2'
'x+1/2,-y,z+1/2'
'y+1/4,x+3/4,-z+1/4'
'-y+1/4,-x+3/4,z+1/4'
'x+1/2,y+1/2,z+1/2'
'-x+1/2,-y+1/2,-z+1/2'
'-y+3/4,x+1/4,z+3/4'
'y+3/4,-x+1/4,-z+3/4'
'-x,-y+1/2,z'
'x,y+1/2,-z'
'y+3/4,-x+3/4,z+1/4'
'-y+3/4,x+3/4,-z+1/4'
'x+1/2,-y+1/2,-z+1/2'
'-x+1/2,y+1/2,z+1/2'
'-y+3/4,-x+3/4,-z+1/4'
'y+3/4,x+3/4,z+1/4'
'-x,y+1/2,-z'
'x,-y+1/2,z'
'y+3/4,x+1/4,-z+3/4'
'-y+3/4,-x+1/4,z+3/4'
loop_
_atom_site_label
_atom_site_fract_x
_atom_site_fract_y
_atom_site_fract_z
Ba1 0.000 0.250 0.375
Be1 0.000 0.000 0.000
Al1 0.000 0.250 0.875